a | Compound: LiMn2P2O8
Source: Alexandria via LeMat-Bulk
Functional: GGA-PBEsol
Structure: relaxed

Output
Magnetic moment (μB per atom): 0.692

```
data_LiMn2P2O8
_cell_length_a 5.228
_cell_length_b 5.953
_cell_length_c 10.496
_cell_angle_alpha 90.00
_cell_angle_beta 118.43
_cell_angle_gamma 90.00
_space_group_name_H-M_alt 'P 1 c 1'
_space_group_IT_number 7
loop_
_space_group_symop_operation_xyz
'x,y,z'
'x,-y,z+1/2'
loop_
_atom_site_label
_atom_site_type_symbol
_atom_site_fract_x
_atom_site_fract_y
_atom_site_fract_z
Li1 Li 0.000 0.130 0.000
Mn1 Mn 0.077 0.378 0.721
Mn2 Mn 0.366 0.147 0.414
P1 P 0.541 0.105 0.687
P2 P 0.809 0.388 0.419
O1 O 0.371 0.085 0.775
O2 O 0.427 0.076 0.063
O3 O 0.445 0.320 0.590
O4 O 0.465 0.396 0.324
O5 O 0.856 0.167 0.506
O6 O 0.869 0.115 0.789
O7 O 0.918 0.422 0.030
O8 O 0.957 0.377 0.322
```

b | Compound: LiMn2P2O8
Source: Alexandria via LeMat-Bulk
Functional: GGA-PBEsol
Structure: relaxed

Output
Magnetic moment (μB per atom): 0.692

```
data_LiMn2P2O8
_cell_length_a 4.790
_cell_length_b 5.121
_cell_length_c 6.049
_cell_angle_alpha 87.68
_cell_angle_beta 74.20
_cell_angle_gamma 75.66
_space_group_name_H-M_alt 'P 1'
_space_group_IT_number 1
loop_
_space_group_symop_operation_xyz
'x,y,z'
loop_
_atom_site_label
_atom_site_type_symbol
_atom_site_fract_x
_atom_site_fract_y
_atom_site_fract_z
Li1 Li 0.000 0.000 0.000
Mn1 Mn 0.628 0.093 0.641
Mn2 Mn 0.693 0.581 0.311
P1 P 0.012 0.512 0.744
P2 P 0.326 0.173 0.203
O1 O 0.358 0.449 0.637
O2 O 0.404 0.026 0.969
O3 O 0.423 0.436 0.183
O4 O 0.483 0.975 0.367
O5 O 0.857 0.704 0.576
O6 O 0.912 0.245 0.767
O7 O 0.932 0.659 0.976
O8 O 0.977 0.219 0.297
```

Most stable: b (next structure +53 meV/atom)

a | Compound: Li2Mn2P3O12
Source: Alexandria via LeMat-Bulk
Functional: GGA-PBEsol
Structure: relaxed

Output
Magnetic moment (μB per atom): 0.367

```
data_Li2Mn2P3O12
_cell_length_a 8.171
_cell_length_b 8.180
_cell_length_c 8.602
_cell_angle_alpha 89.55
_cell_angle_beta 63.47
_cell_angle_gamma 60.63
_space_group_name_H-M_alt 'P -1'
_space_group_IT_number 2
loop_
_space_group_symop_operation_xyz
'x,y,z'
'-x,-y,-z'
loop_
_atom_site_label
_atom_site_type_symbol
_atom_site_fract_x
_atom_site_fract_y
_atom_site_fract_z
Li1 Li 0.067 0.268 0.362
Li2 Li 0.387 0.692 0.361
Mn1 Mn 0.283 0.858 0.069
Mn2 Mn 0.309 0.343 0.545
P1 P 0.207 0.540 0.249
P2 P 0.223 0.734 0.743
P3 P 0.490 0.033 0.754
O1 O 0.005 0.526 0.316
O2 O 0.010 0.857 0.744
O3 O 0.153 0.746 0.237
O4 O 0.202 0.790 0.922
O5 O 0.255 0.532 0.413
O6 O 0.305 0.513 0.703
O7 O 0.326 0.176 0.382
O8 O 0.343 0.164 0.683
O9 O 0.351 0.021 0.938
O10 O 0.377 0.888 0.236
O11 O 0.389 0.767 0.583
O12 O 0.396 0.378 0.082
```

b | Compound: Li2Mn2P3O12
Source: Alexandria via LeMat-Bulk
Functional: GGA-PBEsol
Structure: relaxed

Output
Magnetic moment (μB per atom): 0.368

```
data_Li2Mn2P3O12
_cell_length_a 11.892
_cell_length_b 8.428
_cell_length_c 8.554
_cell_angle_alpha 90.00
_cell_angle_beta 90.00
_cell_angle_gamma 90.00
_space_group_name_H-M_alt 'P b c n'
_space_group_IT_number 60
loop_
_space_group_symop_operation_xyz
'x,y,z'
'-x,-y,-z'
'-x+1/2,-y+1/2,z+1/2'
'x+1/2,y+1/2,-z+1/2'
'x+1/2,-y+1/2,-z'
'-x+1/2,y+1/2,z'
'-x,y,-z+1/2'
'x,-y,z+1/2'
loop_
_atom_site_label
_atom_site_type_symbol
_atom_site_fract_x
_atom_site_fract_y
_atom_site_fract_z
Li1 Li 0.185 0.220 0.220
Mn1 Mn 0.112 0.252 0.533
P1 P 0.000 0.467 0.250
P2 P 0.146 0.104 0.894
O1 O 0.030 0.159 0.949
O2 O 0.073 0.436 0.638
O3 O 0.084 0.358 0.336
O4 O 0.156 0.079 0.395
O5 O 0.175 0.157 0.726
O6 O 0.230 0.175 0.013
```

Most stable: b (next structure +6 meV/atom)

a | Compound: Li2Mn3P4O14
Source: Alexandria via LeMat-Bulk
Functional: GGA-PBEsol
Structure: relaxed

Output
Magnetic moment (μB per atom): 0.652

```
data_Li2Mn3P4O14
_cell_length_a 5.646
_cell_length_b 7.011
_cell_length_c 7.350
_cell_angle_alpha 101.11
_cell_angle_beta 95.57
_cell_angle_gamma 112.99
_space_group_name_H-M_alt 'P -1'
_space_group_IT_number 2
loop_
_space_group_symop_operation_xyz
'x,y,z'
'-x,-y,-z'
loop_
_atom_site_label
_atom_site_type_symbol
_atom_site_fract_x
_atom_site_fract_y
_atom_site_fract_z
Li1 Li 0.178 0.015 0.310
Mn1 Mn 0.186 0.492 0.677
Mn2 Mn 0.500 0.000 0.000
P1 P 0.138 0.300 0.061
P2 P 0.433 0.727 0.345
O1 O 0.088 0.276 0.849
O2 O 0.111 0.733 0.855
O3 O 0.209 0.652 0.455
O4 O 0.278 0.165 0.117
O5 O 0.317 0.264 0.544
O6 O 0.350 0.543 0.149
O7 O 0.467 0.926 0.279
```

b | Compound: Li2Mn3P4O14
Source: Alexandria via LeMat-Bulk
Functional: GGA-PBEsol
Structure: relaxed

Output
Magnetic moment (μB per atom): 0.652

```
data_Li2Mn3P4O14
_cell_length_a 7.363
_cell_length_b 7.878
_cell_length_c 9.710
_cell_angle_alpha 90.00
_cell_angle_beta 109.92
_cell_angle_gamma 90.00
_space_group_name_H-M_alt 'P 1 21/c 1'
_space_group_IT_number 14
loop_
_space_group_symop_operation_xyz
'x,y,z'
'-x,-y,-z'
'-x,y+1/2,-z+1/2'
'x,-y+1/2,z+1/2'
loop_
_atom_site_label
_atom_site_type_symbol
_atom_site_fract_x
_atom_site_fract_y
_atom_site_fract_z
Li1 Li 0.211 0.082 0.147
Mn1 Mn 0.302 0.123 0.478
Mn2 Mn 0.500 0.000 0.000
P1 P 0.099 0.051 0.720
P2 P 0.383 0.706 0.195
O1 O 0.109 0.506 0.796
O2 O 0.121 0.172 0.604
O3 O 0.180 0.632 0.192
O4 O 0.221 0.111 0.876
O5 O 0.344 0.622 0.623
O6 O 0.466 0.583 0.109
O7 O 0.488 0.206 0.142
```

Most stable: b (next structure +19 meV/atom)